Here is Na2Sr8Pd after structural relaxation from Alexandria via LeMat-Bulk. Energies are from GGA-PBE.

Computed properties:
DOS at the Fermi energy (states/eV/cell): 8.9
Crystal system: monoclinic
DFT formation energy (eV per atom): -0.11
SG: C2/m (12)
ΔE to the lowest computed polymorph (kJ/mol of atoms): 0.0

a = 13.983 Å, b = 13.983 Å, c = 8.777 Å
α = 98.26°, β = 98.26°, γ = 18.14°
Atoms (fractional coordinates):
Na: 0.204 0.204 0.366
Na: 0.796 0.796 0.634
Sr: 0.001 0.001 0.742
Sr: 0.211 0.211 0.834
Sr: 0.387 0.387 0.942
Sr: 0.392 0.392 0.451
Sr: 0.608 0.608 0.549
Sr: 0.613 0.613 0.058
Sr: 0.789 0.789 0.166
Sr: 0.999 0.999 0.258
Pd: 0.500 0.500 0.500